Record 1
A plane-wave DFT calculation with GGA-PBE was carried out for a relaxed structure of BSb2PIr.

```
BSb2PIr
1.0
5.295 0.000 0.000
0.000 5.295 0.000
0.000 0.000 4.315
B Sb P Ir
1 2 1 1
Cartesian
0.000 0.000 0.000 B
0.000 2.648 2.157 Sb
2.648 0.000 2.157 Sb
2.648 2.648 2.157 P
2.648 2.648 0.000 Ir
```

Output
Crystal system = tetragonal
ΔE_f (raw) = 1.43 eV/atom

Record 2
A plane-wave DFT calculation with GGA-PBE was carried out for a relaxed structure of KCeTc2O8.

```
KCeTc2O8
1.0
6.032 0.000 0.000
-3.016 5.224 0.000
0.000 0.000 7.693
K Ce Tc O
1 1 2 8
Cartesian
0.000 0.000 0.000 K
0.000 0.000 3.846 Ce
0.000 3.483 5.931 Tc
3.016 1.741 1.762 Tc
-0.021 1.785 5.293 O
-1.460 4.349 5.293 O
0.000 3.483 7.675 O
1.536 0.910 2.399 O
1.480 4.314 5.293 O
3.016 1.741 0.018 O
4.476 0.875 2.399 O
3.037 3.439 2.399 O
```

Output
Crystal system = trigonal
ΔE_f (raw) = -1.92 eV/atom

Record 3
A plane-wave DFT calculation with GGA-PBE was carried out for a relaxed structure of Sc2ZnCo3.

```
Sc2ZnCo3
1.0
2.476 1.430 4.052
-2.476 1.430 4.052
0.000 -2.859 4.052
Sc Zn Co
2 1 3
Cartesian
0.000 0.000 1.469 Sc
0.000 0.000 10.687 Sc
0.000 0.000 6.078 Zn
-1.238 -0.715 4.052 Co
-1.238 0.715 8.103 Co
0.000 1.430 4.052 Co
```

Output
Energy = -37.1 eV per cell
Crystal system = trigonal

Record 4
A plane-wave DFT calculation with GGA-PBE was carried out for a relaxed structure of BaIn6Au3.

```
BaIn6Au3
1.0
10.011 0.000 0.000
0.000 4.889 0.000
-1.165 0.000 10.576
Ba In Au
2 12 6
Cartesian
0.744 1.222 2.737 Ba
8.101 3.667 7.839 Ba
-0.058 1.222 9.670 In
0.893 3.667 5.281 In
1.781 3.667 8.309 In
3.230 3.667 2.904 In
3.128 1.222 5.868 In
4.053 1.222 0.505 In
4.793 3.667 10.071 In
5.718 3.667 4.709 In
5.616 1.222 7.672 In
7.065 1.222 2.267 In
7.952 1.222 5.296 In
8.904 3.667 0.906 In
0.451 1.222 6.837 Au
1.869 3.667 0.399 Au
4.520 1.222 3.414 Au
4.326 3.667 7.162 Au
6.977 1.222 10.178 Au
8.395 3.667 3.739 Au
```

Output
Energy = -62.9 eV per cell
Crystal system = monoclinic

Record 5
A plane-wave DFT calculation with GGA-PBE was carried out for a relaxed structure of SbOsRh.

```
SbOsRh
1.0
-1.528 1.528 5.320
1.528 -1.528 5.320
1.528 1.528 -5.320
Sb Os Rh
1 1 1
Cartesian
0.000 0.000 0.000 Sb
0.000 0.000 3.597 Os
0.000 0.000 7.138 Rh
```

Output
Energy relative to the lowest polymorph listed for this composition = 172 meV per atom
Crystal system = tetragonal
ΔE_f (raw) = 0.43 eV/atom

Record 6
A plane-wave DFT calculation with GGA-PBE was carried out for a relaxed structure of RbSrNb.

```
RbSrNb
1.0
4.472 0.000 0.000
2.051 6.171 0.000
0.063 2.574 10.228
Rb Sr Nb
2 2 2
Cartesian
0.000 0.000 0.000 Rb
2.290 2.874 1.861 Rb
2.150 3.082 5.491 Sr
4.333 5.936 7.389 Sr
1.995 6.507 4.530 Nb
4.444 5.669 4.015 Nb
```

Output
Energy relative to the lowest polymorph listed for this composition = 331 meV per atom
Crystal system = triclinic

Record 7
A plane-wave DFT calculation with GGA-PBE was carried out for a relaxed structure of BaHgAs2.

```
BaHgAs2
1.0
-4.100 4.100 3.423
4.100 -4.100 3.423
4.100 4.100 -3.423
Ba Hg As
2 2 4
Cartesian
0.000 0.000 0.000 Ba
0.000 4.100 1.712 Ba
4.100 0.000 1.712 Hg
0.000 0.000 3.423 Hg
2.050 -1.569 2.567 As
2.530 2.050 0.856 As
2.050 5.669 -0.856 As
1.569 2.050 4.279 As
```

Output
Energy = -25.9 eV per cell
Crystal system = tetragonal

Record 8
A plane-wave DFT calculation with GGA-PBE was carried out for a relaxed structure of Mg3AgAu2.

```
Mg3AgAu2
1.0
4.683 0.000 0.000
-2.342 4.056 0.000
0.000 0.000 11.474
Mg Ag Au
6 2 4
Cartesian
0.000 0.000 2.835 Mg
0.000 0.000 8.639 Mg
0.000 2.704 4.812 Mg
0.000 2.704 10.575 Mg
2.342 1.352 0.899 Mg
2.342 1.352 6.662 Mg
0.000 2.704 7.698 Ag
2.342 1.352 3.775 Ag
0.000 0.000 0.000 Au
0.000 0.000 5.737 Au
0.000 2.704 2.018 Au
2.342 1.352 9.456 Au
```

Output
Energy relative to the lowest polymorph listed for this composition = 0 meV per atom
Crystal system = trigonal

Values of theoretical density, in order: 6.55, 3.45, 6.41, 9.09, 13.87, 3.13, 7.04, 8.76, all in g/cm3.
Values of DOS at the Fermi energy, in order: 4.11, 6.66, 7.75, 9.03, 4.83, 4.86, 0.20, 3.67, all in states/eV/cell.